VASP calculation (PBE-GGA) on an optimized crystal structure of Y3Al9Tc2.

POSCAR file:
```
Y3Al9Tc2
1.0
-2.178 4.769 6.309
2.178 -4.769 6.309
2.178 4.769 -6.309
Y Al Tc
3 9 2
direct
0.000 0.000 0.000
0.301 0.301 0.000
0.699 0.699 0.000
0.012 0.652 0.360
0.158 0.876 0.282
0.292 0.652 0.640
0.407 0.124 0.282
0.500 0.000 0.500
0.593 0.876 0.718
0.708 0.348 0.360
0.842 0.124 0.718
0.988 0.348 0.640
0.324 0.500 0.824
0.676 0.500 0.176
```

## Properties
Final energy in eV per atom: -5.751
Energy relative to the elements in eV per atom: -0.479
Total magnetic moment in μB/cell: 0.0
ρ in g/cm³: 4.469
D(E_F) in states/eV per cell: 9.37

VASP calculation (PBE-GGA) on an optimized crystal structure of Y2Al3Tc.

POSCAR file:
```
Y2Al3Tc
1.0
2.769 1.599 4.431
-2.769 1.599 4.431
0.000 -3.197 4.431
Y Al Tc
2 3 1
direct
0.128 0.128 0.128
0.872 0.872 0.872
0.000 0.500 0.500
0.500 0.000 0.500
0.500 0.500 0.000
0.500 0.500 0.500
```

## Properties
ΔE to the lowest computed polymorph in meV/atom: 31.7
Final energy in eV per atom: -6.241
Energy relative to the elements in eV per atom: -0.488
Total magnetic moment in μB/cell: 0.0
ρ in g/cm³: 5.034
D(E_F) in states/eV per cell: 4.17